[1]
TaBeNiAs after structural relaxation. Source: OQMD, functional PBE-GGA.

abc: 4.2335 4.2335 4.2335
angles: 60.00 60.00 60.00
With the nearest neighbours (Å) after each atom.
Fractional positions:
Ta  0.0000  0.0000  0.0000  4 As 2.59, 4 Be 2.59
Be  0.7500  0.7500  0.7500  4 Ni 2.59, 4 Ta 2.59
Ni  0.5000  0.5000  0.5000  4 As 2.59, 4 Be 2.59
As  0.2500  0.2500  0.2500  4 Ni 2.59, 4 Ta 2.59

Values from the calculation:
excess energy over the best structure of this formula in the dataset = 0.000 eV/atom
total energy = -25.23 eV/cell

---

[2]
LaNdMg after structural relaxation. Source: OQMD, functional PBE-GGA.

abc: 5.4216 5.4216 5.4216
angles: 60.00 60.00 60.00
With the nearest neighbours (Å) after each atom.
Fractional positions:
La  0.0000  0.0000  0.0000  4 Mg 3.32
Nd  0.5000  0.5000  0.5000  4 Mg 3.32
Mg  0.2500  0.2500  0.2500  4 La 3.32, 4 Nd 3.32

Values from the calculation:
excess energy over the best structure of this formula in the dataset = 0.000 eV/atom
total energy = -10.18 eV/cell

---

[3]
Li2Zn2Ge2PdPt after structural relaxation. Source: OQMD, functional PBE-GGA.

abc: 4.3595 4.3595 6.1430
angles: 90.00 90.00 90.00
With the nearest neighbours (Å) after each atom.
Fractional positions:
Li  0.0000  0.0000  0.0000  4 Zn 2.66, 4 Ge 2.66
Li  0.5000  0.5000  0.5000  4 Ge 2.67, 4 Zn 2.67
Zn  0.0000  0.5000  0.2489  4 Li 2.66-2.67, 2 Pt 2.66, 2 Pd 2.67
Zn  0.5000  0.0000  0.7511  4 Li 2.66-2.67, 2 Pt 2.66, 2 Pd 2.67
Ge  0.0000  0.5000  0.7508  4 Li 2.66-2.67, 2 Pt 2.66, 2 Pd 2.67
Ge  0.5000  0.0000  0.2492  4 Li 2.66-2.67, 2 Pt 2.66, 2 Pd 2.67
Pd  0.0000  0.0000  0.5000  4 Ge 2.67, 4 Zn 2.67
Pt  0.5000  0.5000  0.0000  4 Zn 2.66, 4 Ge 2.66

Values from the calculation:
total energy = -30.57 eV/cell

---

[4]
Sm4Te3N2 after structural relaxation. Source: OQMD, functional PBE-GGA.

abc: 7.4267 7.4267 10.7516
angles: 126.61 126.61 32.63
With the nearest neighbours (Å) after each atom.
Fractional positions:
Sm  0.1244  0.1244  0.3740  3 N 2.29-2.44
Sm  0.2909  0.2909  0.8411  1 N 2.21
Sm  0.7091  0.7091  0.1589  1 N 2.21
Sm  0.8756  0.8756  0.6260  3 N 2.29-2.44
Te  0.0000  0.0000  0.0000  6 Sm 3.13-3.23
Te  0.3993  0.3993  0.2422  4 Sm 3.08-3.32
Te  0.6007  0.6007  0.7578  4 Sm 3.08-3.32
N  0.2907  0.2907  0.6350  4 Sm 2.21-2.44
N  0.7093  0.7093  0.3650  4 Sm 2.21-2.44

Values from the calculation:
excess energy over the best structure of this formula in the dataset = 0.005 eV/atom
total energy = -58.38 eV/cell